Here is crystalline IrPt2Br at its relaxed geometry from the Alexandria database. Energies are from PBE-GGA.

The space group is P4/mmm (No. 123) and the conventional cell measures 3.933, 3.933 and 4.318 Å, with angles of 90.00, 90.00 and 90.00 degrees. The inequivalent atoms are Ir at (0.000, 0.000, 0.000), Pt at (0.000, 0.500, 0.500) and Br at (0.500, 0.500, 0.000).

The raw formation energy is 946 meV per atom. The polymorph energy (0 for the lowest one) comes out at 0.571 eV per atom.